1.
Material: CdAg2Sn
Method: DFT, PBE
State: optimized geometry

Cell: 6.9640 6.9640 6.9640 Å, 90.00 90.00 90.00°
With the nearest neighbours (Å) after each atom.
Space group F-43m (No. 216)
Unique sites:
Cd (0.0000, 0.0000, 0.0000) x4  4 Sn 3.02, 4 Ag 3.02
Ag (0.0000, 0.0000, 0.5000) x4  4 Sn 3.02, 4 Ag 3.02
Ag (0.2500, 0.2500, 0.2500) x4  4 Cd 3.02, 4 Ag 3.02
Sn (0.2500, 0.2500, 0.7500) x4  4 Cd 3.02, 4 Ag 3.02

Calculated values
energy = -2.56 eV per atom

---

2.
Material: DyTlFeSe3
Method: DFT, PBE
State: optimized geometry

Cell: 11.4779 4.2660 12.4034 Å, 90.00 90.00 90.00°
With the nearest neighbours (Å) after each atom.
Space group Pnma (No. 62)
Unique sites:
Dy (0.0187, 0.2500, 0.1760) x4  7 Se 2.90-3.14
Tl (0.1757, 0.2500, 0.5031) x4  7 Se 3.23-3.42, 2 Fe 3.41
Fe (0.2505, 0.2500, 0.7996) x4  4 Se 2.41-2.48
Se (0.0426, 0.7500, 0.3326) x4  1 Fe 2.41
Se (0.1014, 0.2500, 0.9406) x4  1 Fe 2.45
Se (0.2210, 0.7500, 0.7019) x4  2 Fe 2.48

Calculated values
energy = -5.17 eV per atom
magnetization = 16.0 μB/cell